Computed, not measured: an optimized crystal structure of Ba3Hg4Pt2 at the PBE level of DFT.

POSCAR file:
```
Ba3Hg4Pt2
1.0
6.343 -2.322 0.000
6.343 2.322 0.000
-3.885 0.000 9.388
Ba Hg Pt
3 4 2
direct
0.000 0.000 0.000 Ba
0.317 0.317 0.372 Ba
0.683 0.683 0.628 Ba
0.023 0.023 0.352 Hg
0.256 0.256 0.908 Hg
0.744 0.744 0.092 Hg
0.977 0.977 0.648 Hg
0.384 0.384 0.732 Pt
0.616 0.616 0.268 Pt
```

Summary:
density of states at the Fermi level: 0.58 states/eV per atom
ΔE_f: -0.57 eV per atom